Record 1
The following is a DFT calculation (PBE-GGA) of crystalline Rh5Cl at its relaxed geometry.

Unit cell a=2.7917 b=2.7917 c=11.2867 alpha=90.00 beta=90.00 gamma=90.00
With the nearest neighbours (Å) after each atom.
Positions (direct):
1 Rh 0.0000 0.0000 0.5000  12 Rh 2.73-2.79
2 Rh 0.0000 0.0000 0.8285  8 Rh 2.69-2.79, 4 Cl 2.76
3 Rh 0.5000 0.5000 0.3330  12 Rh 2.69-2.79
4 Rh 0.5000 0.5000 0.6670  12 Rh 2.69-2.79
5 Rh 0.0000 0.0000 0.1715  8 Rh 2.69-2.79, 4 Cl 2.76
6 Cl 0.5000 0.5000 0.0000  8 Rh 2.76, 4 Cl 2.79

## Properties
E above lowest polymorph, meV/atom: 0



Record 2
The following is a DFT calculation (PBE-GGA) of crystalline Rh4Cl at its relaxed geometry.

Unit cell a=4.3639 b=4.3639 c=4.3639 alpha=90.00 beta=90.00 gamma=90.00
With the nearest neighbours (Å) after each atom.
Positions (direct):
1 Rh 0.0000 0.5000 0.5000  2 Cl 2.18
2 Rh 0.5000 0.5000 0.0000  2 Cl 2.18
3 Rh 0.0000 0.0000 0.0000  12 Rh 3.09
4 Rh 0.5000 0.0000 0.5000  2 Cl 2.18
5 Cl 0.5000 0.5000 0.5000  6 Rh 2.18

## Properties
E above lowest polymorph, meV/atom: 94



Record 3
The following is a DFT calculation (PBE-GGA) of crystalline RhCl2 at its relaxed geometry.

Unit cell a=6.8855 b=6.8855 c=6.8855 alpha=153.27 beta=153.27 gamma=38.17
With the nearest neighbours (Å) after each atom.
Positions (direct):
1 Cl 0.8808 0.8808 0.0000  4 Rh 2.73
2 Cl 0.1192 0.1192 0.0000  4 Rh 2.73
3 Rh 0.5000 0.5000 0.0000  8 Cl 2.73



Record 4
The following is a DFT calculation (PBE-GGA) of crystalline RhCl at its relaxed geometry.

Unit cell a=3.2644 b=7.2267 c=6.8143 alpha=90.00 beta=90.00 gamma=90.00
With the nearest neighbours (Å) after each atom.
Positions (direct):
1 Cl 0.2500 0.2014 0.7937  4 Rh 2.44-2.63
2 Cl 0.7500 0.7986 0.2063  4 Rh 2.44-2.63
3 Cl 0.2500 0.2986 0.2937  4 Rh 2.44-2.63
4 Cl 0.7500 0.7014 0.7063  4 Rh 2.44-2.63
5 Rh 0.2500 0.8678 0.4611  4 Cl 2.44-2.63, 2 Rh 2.57
6 Rh 0.7500 0.1322 0.5389  4 Cl 2.44-2.63, 2 Rh 2.57
7 Rh 0.2500 0.6322 0.9611  4 Cl 2.44-2.63, 2 Rh 2.57
8 Rh 0.7500 0.3678 0.0389  4 Cl 2.44-2.63, 2 Rh 2.57



Record 5
The following is a DFT calculation (PBE-GGA) of crystalline RhCl at its relaxed geometry.

Unit cell a=7.7103 b=7.7103 c=3.1234 alpha=78.38 beta=78.38 gamma=25.68
With the nearest neighbours (Å) after each atom.
Positions (direct):
1 Cl 0.0061 0.0061 0.9947  4 Rh 2.49
2 Cl 0.2439 0.2439 0.2553  4 Rh 2.49
3 Rh 0.8053 0.8053 0.6943  4 Cl 2.49, 2 Rh 2.67
4 Rh 0.4447 0.4447 0.5557  4 Cl 2.49, 2 Rh 2.67



Record 6
The following is a DFT calculation (PBE-GGA) of crystalline RhCl at its relaxed geometry.

Unit cell a=3.7928 b=4.6683 c=4.6673 alpha=60.21 beta=90.00 gamma=90.00
With the nearest neighbours (Å) after each atom.
Positions (direct):
1 Rh 0.0000 0.4800 0.4800  4 Cl 2.40-2.63, 2 Rh 2.54
2 Rh 0.5000 0.2700 0.2700  4 Cl 2.40-2.63, 2 Rh 2.54
3 Cl 0.5000 0.7063 0.7063  4 Rh 2.40-2.63
4 Cl 0.0000 0.0437 0.0437  4 Rh 2.40-2.63



Record 7
The following is a DFT calculation (PBE-GGA) of crystalline Rh3Cl at its relaxed geometry.

Unit cell a=3.9206 b=3.9206 c=3.9206 alpha=90.00 beta=90.00 gamma=90.00
With the nearest neighbours (Å) after each atom.
Positions (direct):
1 Rh 0.0000 0.5000 0.5000  8 Rh 2.77, 4 Cl 2.77
2 Rh 0.5000 0.5000 0.0000  4 Cl 2.77, 8 Rh 2.77
3 Rh 0.5000 0.0000 0.5000  8 Rh 2.77, 4 Cl 2.77
4 Cl 0.0000 0.0000 0.0000  12 Rh 2.77

## Properties
E above lowest polymorph, meV/atom: 531



Record 8
The following is a DFT calculation (PBE-GGA) of crystalline RhCl2 at its relaxed geometry.

Unit cell a=3.4767 b=9.1127 c=9.6823 alpha=90.00 beta=90.00 gamma=90.00
With the nearest neighbours (Å) after each atom.
Positions (direct):
1 Rh 0.2500 0.1452 0.0634  5 Cl 2.34-2.59
2 Rh 0.7500 0.3548 0.5634  5 Cl 2.34-2.59
3 Rh 0.7500 0.8548 0.9366  5 Cl 2.34-2.59
4 Rh 0.2500 0.6452 0.4366  5 Cl 2.34-2.59
5 Cl 0.2500 0.4919 0.6620  3 Rh 2.34-2.59
6 Cl 0.7500 0.8012 0.5100  2 Rh 2.36
7 Cl 0.2500 0.1988 0.4900  2 Rh 2.36
8 Cl 0.7500 0.0081 0.1620  3 Rh 2.34-2.59
9 Cl 0.2500 0.9919 0.8380  3 Rh 2.34-2.59
10 Cl 0.7500 0.5081 0.3380  3 Rh 2.34-2.59
11 Cl 0.7500 0.3012 0.9900  2 Rh 2.36
12 Cl 0.2500 0.6988 0.0100  2 Rh 2.36



Record 9
The following is a DFT calculation (PBE-GGA) of crystalline RhCl at its relaxed geometry.

Unit cell a=6.7471 b=6.7471 c=6.7471 alpha=90.00 beta=90.00 gamma=90.00
With the nearest neighbours (Å) after each atom.
Positions (direct):
1 Rh 0.5000 0.2500 0.0000  4 Cl 2.39
2 Rh 0.0000 0.5000 0.7500  4 Cl 2.39
3 Rh 0.0000 0.5000 0.2500  4 Cl 2.39
4 Rh 0.5000 0.7500 0.0000  4 Cl 2.39
5 Rh 0.2500 0.0000 0.5000  4 Cl 2.39
6 Rh 0.7500 0.0000 0.5000  4 Cl 2.39
7 Cl 0.7500 0.5000 0.0000  4 Rh 2.39
8 Cl 0.0000 0.7500 0.5000  4 Rh 2.39
9 Cl 0.2500 0.5000 0.0000  4 Rh 2.39
10 Cl 0.5000 0.0000 0.2500  4 Rh 2.39
11 Cl 0.5000 0.0000 0.7500  4 Rh 2.39
12 Cl 0.0000 0.2500 0.5000  4 Rh 2.39



Record 10
The following is a DFT calculation (PBE-GGA) of crystalline Rh3Cl at its relaxed geometry.

Unit cell a=8.7279 b=8.7279 c=8.7279 alpha=154.55 beta=154.55 gamma=36.30
With the nearest neighbours (Å) after each atom.
Positions (direct):
1 Rh 0.0000 0.5000 0.5000  8 Rh 2.68-2.72
2 Rh 0.7500 0.2500 0.5000  4 Cl 2.52, 4 Rh 2.72
3 Rh 0.2500 0.7500 0.5000  4 Cl 2.52, 4 Rh 2.72
4 Rh 0.5000 0.0000 0.5000  8 Rh 2.68-2.72
5 Rh 0.1125 0.1125 0.0000  8 Rh 2.68-2.98, 4 Cl 2.80
6 Rh 0.8875 0.8875 0.0000  8 Rh 2.68-2.98, 4 Cl 2.80
7 Cl 0.6518 0.6518 0.0000  8 Rh 2.52-2.80
8 Cl 0.3482 0.3482 0.0000  8 Rh 2.52-2.80

## Properties
E above lowest polymorph, meV/atom: 434



Record 11
The following is a DFT calculation (PBE-GGA) of crystalline RhCl at its relaxed geometry.

Unit cell a=6.4768 b=6.4768 c=6.3118 alpha=64.15 beta=64.15 gamma=26.75
With the nearest neighbours (Å) after each atom.
Positions (direct):
1 Rh 0.9249 0.9249 0.4716  3 Cl 2.36-2.52, 3 Rh 2.57-2.61
2 Rh 0.7283 0.7283 0.8542  4 Cl 2.50-2.57, 3 Rh 2.57-2.68
3 Rh 0.2522 0.2522 0.4839  1 Cl 2.35, 2 Rh 2.61
4 Cl 0.0529 0.0529 0.0616  3 Rh 2.36-2.50
5 Cl 0.5621 0.5621 0.5551  4 Rh 2.52-2.69
6 Cl 0.3128 0.3128 0.0736  3 Rh 2.35-2.57



Record 12
The following is a DFT calculation (PBE-GGA) of crystalline RhCl at its relaxed geometry.

Unit cell a=2.9958 b=3.8979 c=2.9656 alpha=90.00 beta=89.93 gamma=90.00
With the nearest neighbours (Å) after each atom.
Positions (direct):
1 Cl 0.5138 0.1027 0.1653  4 Rh 2.46
2 Rh 0.0139 0.6028 0.1652  4 Cl 2.46



| no. | total magnetic moment (μB/f.u.) | ΔE_f (raw) (eV per atom) | density of states at the Fermi level (states/eV per atom) |
| --- | --- | --- | --- |
| 1 | 0.01 | 0.26 | 1.687 |
| 2 | 2.73 | 0.98 | 1.810 |
| 3 | 3.03 | 0.18 | 0.778 |
| 4 | 0.00 | 0.29 | 1.089 |
| 5 | 0.01 | 0.31 | 1.493 |
| 6 | 0.00 | 0.08 | 1.423 |
| 7 | 0.45 | 0.82 | 2.186 |
| 8 | 0.00 | -0.27 | 0.395 |
| 9 | 0.00 | 0.57 | 1.527 |
| 10 | 0.01 | 0.72 | 1.700 |
| 11 | 0.19 | 0.09 | 1.089 |
| 12 | 0.00 | 0.37 | 1.466 |